{"formula": "Na2In7Pb3", "functional": "PBE", "state": "relaxed", "energy_ev_per_atom": -2.7332, "total_magnetization_mub_per_cell": 0.0, "formation_energy_ev_per_atom": 0.011, "vol_a3_per_atom": 29.01, "dos_ef_per_ev_atom": 0.347, "cell": [[5.350, 0.000, 0.000], [0.000, 3.513, 0.000], [-0.809, 0.000, 18.525]], "species": ["Na", "Na", "In", "In", "In", "In", "In", "In", "In", "Pb", "Pb", "Pb"], "fractional_positions": [[0.225, 0.000, 0.294], [0.775, 0.000, 0.706], [0.207, 0.500, 0.145], [0.245, 0.000, 0.461], [0.286, 0.000, 0.812], [0.500, 0.500, 0.000], [0.714, 0.000, 0.188], [0.755, 0.000, 0.539], [0.793, 0.500, 0.855], [0.000, 0.000, 0.000], [0.265, 0.500, 0.621], [0.735, 0.500, 0.379]]}

=====

{"formula": "Na2InPb", "functional": "PBE", "state": "relaxed", "energy_ev_per_atom": -2.3688, "total_magnetization_mub_per_cell": 0.0, "formation_energy_ev_per_atom": -0.098, "vol_a3_per_atom": 30.15, "dos_ef_per_ev_atom": 0.375, "cell": [[4.531, -2.607, 0.000], [4.531, 2.607, 0.000], [-0.013, 0.000, 10.209]], "species": ["Na", "Na", "Na", "Na", "In", "In", "Pb", "Pb"], "fractional_positions": [[0.165, 0.165, 0.404], [0.166, 0.166, 0.058], [0.834, 0.834, 0.942], [0.835, 0.835, 0.596], [0.168, 0.168, 0.728], [0.832, 0.832, 0.272], [0.499, 0.499, 0.173], [0.501, 0.501, 0.827]]}

=====

{"formula": "NaIn3Pb6", "functional": "PBE", "state": "relaxed", "energy_ev_per_atom": -3.1841, "total_magnetization_mub_per_cell": 0.0, "formation_energy_ev_per_atom": -0.006, "vol_a3_per_atom": 29.74, "dos_ef_per_ev_atom": 0.495, "cell": [[9.203, 0.000, 0.000], [0.000, 5.604, 0.000], [-3.791, 0.000, 11.533]], "species": ["Na", "Na", "In", "In", "In", "In", "In", "In", "Pb", "Pb", "Pb", "Pb", "Pb", "Pb", "Pb", "Pb", "Pb", "Pb", "Pb", "Pb"], "fractional_positions": [[0.103, 0.250, 0.069], [0.897, 0.750, 0.931], [0.105, 0.750, 0.736], [0.290, 0.250, 0.864], [0.304, 0.750, 0.536], [0.696, 0.250, 0.464], [0.710, 0.750, 0.136], [0.895, 0.250, 0.264], [0.095, 0.250, 0.567], [0.101, 0.750, 0.236], [0.293, 0.250, 0.368], [0.298, 0.750, 0.030], [0.492, 0.250, 0.669], [0.499, 0.750, 0.840], [0.501, 0.250, 0.160], [0.508, 0.750, 0.331], [0.702, 0.250, 0.970], [0.707, 0.750, 0.632], [0.899, 0.250, 0.764], [0.905, 0.750, 0.433]]}